(1)
Density functional theory data (PBE-GGA) for BaCr2N after structural relaxation.

Structure (POSCAR):
```
BaCr2N
1.0
0.000 4.363 4.363
4.363 0.000 4.363
4.363 4.363 0.000
Ba Cr N
2 4 2
direct
0.125 0.125 0.125
0.875 0.875 0.875
0.000 0.500 0.500
0.500 0.000 0.500
0.500 0.500 0.000
0.500 0.500 0.500
0.375 0.375 0.375
0.625 0.625 0.625
```

Calculated values
- formation energy (no corrections) (eV/atom) = 0.12

(2)
Density functional theory data (PBE-GGA) for Ce6BSe12 after structural relaxation.

Structure (POSCAR):
```
Ce6BSe12
1.0
6.230 3.597 3.836
-6.230 3.597 3.836
0.000 -7.194 3.836
Ce B Se
6 1 12
direct
0.129 0.624 0.290
0.290 0.129 0.624
0.376 0.710 0.871
0.624 0.290 0.129
0.710 0.871 0.376
0.871 0.376 0.710
0.000 0.000 0.000
0.028 0.707 0.942
0.058 0.972 0.293
0.178 0.434 0.579
0.293 0.058 0.972
0.421 0.822 0.566
0.434 0.579 0.178
0.566 0.421 0.822
0.579 0.178 0.434
0.707 0.942 0.028
0.822 0.566 0.421
0.942 0.028 0.707
0.972 0.293 0.058
```

Calculated values
- formation energy (no corrections) (eV/atom) = -1.36

(3)
Density functional theory data (PBE-GGA) for Co4Ni12Rh after structural relaxation.

Structure (POSCAR):
```
Co4Ni12Rh
1.0
-3.707 3.707 3.707
3.707 -3.707 3.707
3.707 3.707 -3.707
Co Ni Rh
4 12 1
direct
0.000 0.000 0.500
0.000 0.500 0.000
0.500 0.000 0.000
0.500 0.500 0.500
0.000 0.309 0.309
0.000 0.691 0.691
0.250 0.500 0.750
0.250 0.750 0.500
0.309 0.000 0.309
0.309 0.309 0.000
0.500 0.250 0.750
0.500 0.750 0.250
0.691 0.000 0.691
0.691 0.691 0.000
0.750 0.250 0.500
0.750 0.500 0.250
0.000 0.000 0.000
```

Calculated values
- ΔH_f (0 K) (kJ/mol of atoms) = 31.6

(4)
Density functional theory data (PBE-GGA) for Na3Cu2MoSe6 after structural relaxation.

Structure (POSCAR):
```
Na3Cu2MoSe6
1.0
3.284 -5.807 0.000
3.284 5.807 0.000
-2.127 0.000 6.739
Na Cu Mo Se
3 2 1 6
direct
0.000 0.000 0.000
0.329 0.671 0.000
0.671 0.329 0.000
0.164 0.836 0.500
0.836 0.164 0.500
0.500 0.500 0.500
0.098 0.427 0.304
0.243 0.243 0.706
0.427 0.098 0.304
0.573 0.902 0.696
0.757 0.757 0.294
0.902 0.573 0.696
```

Calculated values
- formation energy (no corrections) (eV/atom) = -0.46

Results for total energy: -58.0; -109.9; -99.6; -49.4 (in eV for the cell shown, following the order of the records).